Entry from Alexandria via LeMat-Bulk: a relaxed structure of ZrP3W (PBE).

Polymorph energy (0 for the lowest one) = 0.0 kJ/mol of atoms
DOS(E_F) = 5.01 states/eV per cell
Formation energy = 40.33 kJ per mole of atoms
Volume = 20.3 A^3/atom
E = -35.641 eV for the cell shown

Unit cell a=4.6679 b=4.6679 c=4.6679 alpha=90.00 beta=90.00 gamma=90.00
Fractional positions:
P1 0.5000 0.0000 0.0000
P2 0.0000 0.0000 0.5000
W1 0.0000 0.0000 0.0000
P3 0.0000 0.5000 0.0000
Zr1 0.5000 0.5000 0.5000